PBE AcPm2YSe4, optimized geometry; space group = No. 10; energy relative to the elements, uncorrected = -14.40 eV/f.u.
1.0
7.2850 0.0000 0.0000
0.0000 4.1788 0.0000
-2.4035 0.0000 7.0997
Ac Pm Y Se
1 2 1 4
Direct
0.0000 0.0000 0.0000
0.5000 0.0000 0.5000
0.5000 0.5000 0.0000
0.0000 0.5000 0.5000
0.2477 0.0000 0.7366
0.2579 0.5000 0.2661
0.7421 0.5000 0.7339
0.7523 0.0000 0.2634


PBE MoIr4Rh3, optimized geometry; space group = No. 71; ΔH_f (0 K) = 2.53 eV per formula unit
1.0
-1.3643 3.6022 6.3139
1.3643 -3.6022 6.3139
1.3643 3.6022 -6.3139
Mo Ir Rh
1 4 3
Direct
0.0000 0.0000 0.0000
0.1598 0.8490 0.3108
0.4618 0.1510 0.3108
0.5382 0.8490 0.6892
0.8402 0.1510 0.6892
0.1714 0.6714 0.5000
0.5000 0.5000 0.0000
0.8286 0.3286 0.5000


PBE NaPr3Dy3Se8, optimized geometry; space group = No. 166; energy relative to the elements, uncorrected = -26.91 eV/f.u.
1.0
4.1425 2.3916 6.8272
-4.1425 2.3916 6.8272
0.0000 -4.7833 6.8272
Na Pr Dy Se
1 3 3 8
Direct
0.0000 0.0000 0.0000
0.0000 0.0000 0.5000
0.0000 0.5000 0.0000
0.5000 0.0000 0.0000
0.0000 0.5000 0.5000
0.5000 0.0000 0.5000
0.5000 0.5000 0.0000
0.2526 0.2526 0.7374
0.2526 0.7374 0.2526
0.2548 0.2548 0.2548
0.2626 0.7474 0.7474
0.7374 0.2526 0.2526
0.7452 0.7452 0.7452
0.7474 0.2626 0.7474
0.7474 0.7474 0.2626


PBE CdP2SCl, optimized geometry; space group = No. 123; energy relative to the elements, uncorrected = 5.74 eV/f.u.
1.0
4.6208 0.0000 0.0000
0.0000 4.6208 0.0000
0.0000 0.0000 4.9624
Cd P S Cl
1 2 1 1
Direct
0.0000 0.0000 0.0000
0.0000 0.5000 0.5000
0.5000 0.0000 0.5000
0.5000 0.5000 0.0000
0.5000 0.5000 0.5000


PBE YMg2P, optimized geometry; space group = No. 35; ΔH_f (0 K) = -1.53 eV per formula unit
1.0
2.3005 -2.6229 0.0000
2.3005 2.6229 0.0000
0.0000 0.0000 7.4543
Y Mg P
1 2 1
Direct
0.0000 0.0000 0.0000
0.0000 0.0000 0.5897
0.5000 0.5000 0.3224
0.5000 0.5000 0.7857


PBE AcDyHoAl, optimized geometry; space group = No. 216; ΔH_f (0 K) = 0.36 eV per formula unit
1.0
0.0000 3.8894 3.8894
3.8894 0.0000 3.8894
3.8894 3.8894 0.0000
Ac Dy Ho Al
1 1 1 1
Direct
0.0000 0.0000 0.0000
0.2500 0.2500 0.2500
0.7500 0.7500 0.7500
0.5000 0.5000 0.5000


PBE CrSnSe2, optimized geometry; space group = No. 8; energy relative to the elements, uncorrected = -0.94 eV/f.u.
1.0
7.6352 -1.9948 0.0000
7.6352 1.9948 0.0000
-1.2799 0.0000 7.1268
Cr Sn Se
2 2 4
Direct
0.0000 0.0000 0.0000
0.1311 0.1311 0.0589
0.5610 0.5610 0.5436
0.8054 0.8054 0.2791
0.1906 0.1906 0.3930
0.4593 0.4593 0.1666
0.6836 0.6836 0.9195
0.9538 0.9538 0.6580


PBE CoCuCl4, optimized geometry; space group = No. 216; energy relative to the elements, uncorrected = 6.55 eV/f.u.
1.0
0.0000 4.1019 4.1019
4.1019 0.0000 4.1019
4.1019 4.1019 0.0000
Co Cu Cl
1 1 4
Direct
0.0000 0.0000 0.0000
0.7500 0.7500 0.7500
0.3748 0.3748 0.3748
0.3748 0.3748 0.8756
0.3748 0.8756 0.3748
0.8756 0.3748 0.3748


PBE Pr12Nd5Sm2, optimized geometry; space group = No. 12; ΔH_f (0 K) = 2.94 eV per formula unit
1.0
9.4578 -3.6294 0.0000
9.4578 3.6294 0.0000
-3.8741 0.0000 9.9839
Pr Nd Sm
12 5 2
Direct
0.9998 0.9998 0.1737
0.0002 0.0002 0.8263
0.0796 0.5852 0.9733
0.0941 0.5869 0.6314
0.4131 0.9059 0.3686
0.4148 0.9204 0.0267
0.4712 0.4712 0.2532
0.5288 0.5288 0.7468
0.5852 0.0796 0.9733
0.5869 0.0941 0.6314
0.9059 0.4131 0.3686
0.9204 0.4148 0.0267
0.1733 0.1733 0.7094
0.3131 0.3131 0.3152
0.5000 0.5000 0.0000
0.6869 0.6869 0.6848
0.8267 0.8267 0.2906
0.2225 0.7775 0.5000
0.7775 0.2225 0.5000


PBE CeYSc, optimized geometry; space group = No. 107; ΔH_f (0 K) = 0.28 eV per formula unit
1.0
-1.7172 1.7172 7.2864
1.7172 -1.7172 7.2864
1.7172 1.7172 -7.2864
Ce Y Sc
1 1 1
Direct
0.0000 0.0000 0.0000
0.3264 0.3264 0.0000
0.6568 0.6568 0.0000


PBE Na2ZnAs2Pd, optimized geometry; space group = No. 72; ΔH_f (0 K) = -2.37 eV per formula unit
1.0
-2.9230 7.0819 2.9983
2.9230 -7.0819 2.9983
2.9230 7.0819 -2.9983
Na Zn As Pd
4 2 4 2
Direct
0.1738 0.2473 0.4211
0.3262 0.7473 0.0736
0.6738 0.2527 0.9264
0.8262 0.7527 0.5789
0.2500 0.7500 0.5000
0.7500 0.2500 0.5000
0.1076 0.7537 0.8613
0.3924 0.2537 0.6462
0.6076 0.7463 0.3538
0.8924 0.2463 0.1387
0.2500 0.2500 0.0000
0.7500 0.7500 0.0000


PBE BaSc, optimized geometry; space group = No. 8; ΔH_f (0 K) = 0.62 eV per formula unit
1.0
7.5717 -1.9264 0.0000
7.5717 1.9264 0.0000
-2.2015 0.0000 8.1869
Ba Sc
3 3
Direct
0.0000 0.0000 0.0000
0.0412 0.0412 0.5098
0.7277 0.7277 0.8806
0.3398 0.3398 0.5974
0.3554 0.3554 0.2426
0.7093 0.7093 0.3267


PBE LiGa5Pt3, optimized geometry; space group = No. 12; ΔH_f (0 K) = -3.68 eV per formula unit
1.0
5.9001 -4.1099 0.0000
5.9001 4.1099 0.0000
-3.7230 0.0000 7.9456
Li Ga Pt
2 10 6
Direct
0.1347 0.1347 0.3252
0.8653 0.8653 0.6748
0.0493 0.6449 0.3068
0.2186 0.2186 0.0402
0.2994 0.7006 0.0000
0.3551 0.9507 0.6932
0.4054 0.4054 0.6344
0.5946 0.5946 0.3656
0.6449 0.0493 0.3068
0.7006 0.2994 0.0000
0.7814 0.7814 0.9598
0.9507 0.3551 0.6932
0.0000 0.0000 0.0000
0.0000 0.0000 0.5000
0.3246 0.3246 0.8471
0.3742 0.3742 0.3376
0.6258 0.6258 0.6624
0.6754 0.6754 0.1529


PBE BaSrLa4Be2O10, optimized geometry; space group = No. 4; energy relative to the elements, uncorrected = -55.60 eV/f.u.
1.0
6.7824 0.0000 0.0000
0.0000 7.4835 0.0000
-0.1202 0.0000 9.8843
Ba Sr La Be O
2 2 8 4 20
Direct
0.0810 0.0000 0.3240
0.9190 0.5000 0.6760
0.4156 0.0060 0.8250
0.5844 0.5060 0.1750
0.0760 0.5437 0.3231
0.0927 0.2687 0.0212
0.4099 0.2690 0.5222
0.4349 0.5612 0.8332
0.5651 0.0612 0.1668
0.5901 0.7690 0.4778
0.9073 0.7687 0.9788
0.9240 0.0437 0.6769
0.1966 0.7749 0.6035
0.3142 0.7696 0.0976
0.6858 0.2696 0.9024
0.8034 0.2749 0.3965
0.0160 0.2743 0.4849
0.1399 0.7846 0.7717
0.1483 0.2408 0.7835
0.1938 0.5842 0.0578
0.2045 0.9615 0.0646
0.3135 0.9600 0.5659
0.3185 0.5850 0.5770
0.3404 0.2760 0.2738
0.3741 0.7628 0.2671
0.4781 0.2738 0.9895
0.5219 0.7738 0.0105
0.6259 0.2628 0.7329
0.6596 0.7760 0.7262
0.6815 0.0850 0.4230
0.6865 0.4600 0.4341
0.7955 0.4615 0.9354
0.8062 0.0842 0.9422
0.8517 0.7408 0.2165
0.8601 0.2846 0.2283
0.9840 0.7743 0.5151


PBE SrLi2AlSe4, optimized geometry; space group = No. 121; energy relative to the elements, uncorrected = -9.44 eV/f.u.
1.0
-3.4964 3.4964 3.9840
3.4964 -3.4964 3.9840
3.4964 3.4964 -3.9840
Sr Li Al Se
1 2 1 4
Direct
0.0000 0.0000 0.0000
0.2500 0.7500 0.5000
0.7500 0.2500 0.5000
0.5000 0.5000 0.0000
0.1326 0.1326 0.5938
0.4612 0.8674 0.0000
0.5388 0.5388 0.4062
0.8674 0.4612 0.0000


PBE LiTb3Ir2, optimized geometry; space group = No. 72; ΔH_f (0 K) = -3.51 eV per formula unit
1.0
-3.3084 6.4388 3.5383
3.3084 -6.4388 3.5383
3.3084 6.4388 -3.5383
Li Tb Ir
2 6 4
Direct
0.0000 0.0000 0.0000
0.5000 0.5000 0.0000
0.0309 0.2500 0.7809
0.2500 0.7500 0.5000
0.4691 0.2500 0.2191
0.5309 0.7500 0.7809
0.7500 0.2500 0.5000
0.9691 0.7500 0.2191
0.1396 0.7053 0.8449
0.3604 0.2053 0.5657
0.6396 0.7947 0.4343
0.8604 0.2947 0.1551


PBE Tb6RuAu2, optimized geometry; space group = No. 14; ΔH_f (0 K) = -4.21 eV per formula unit
1.0
6.6575 0.0000 0.0000
0.0000 7.4936 0.0000
-6.2562 0.0000 10.0341
Tb Ru Au
12 2 4
Direct
0.1130 0.0260 0.2491
0.1130 0.4740 0.7491
0.2237 0.6791 0.0659
0.2237 0.8209 0.5659
0.3794 0.1806 0.0573
0.3794 0.3194 0.5573
0.6206 0.6806 0.4427
0.6206 0.8194 0.9427
0.7763 0.1791 0.4341
0.7763 0.3209 0.9341
0.8870 0.5260 0.2509
0.8870 0.9740 0.7509
0.5000 0.0000 0.5000
0.5000 0.5000 0.0000
0.3093 0.1138 0.7549
0.3093 0.3862 0.2549
0.6907 0.6138 0.7451
0.6907 0.8862 0.2451


PBE MnCoMo2Rh, optimized geometry; space group = No. 123; ΔH_f (0 K) = 6.71 eV per formula unit
1.0
4.3750 0.0000 0.0000
0.0000 4.3750 0.0000
0.0000 0.0000 4.4024
Mn Co Mo Rh
1 1 2 1
Direct
0.0000 0.0000 0.0000
0.5000 0.5000 0.5000
0.0000 0.5000 0.0000
0.5000 0.0000 0.0000
0.0000 0.0000 0.5000


PBE HoScInHg, optimized geometry; space group = No. 216; ΔH_f (0 K) = -1.72 eV per formula unit
1.0
0.0000 3.6421 3.6421
3.6421 0.0000 3.6421
3.6421 3.6421 0.0000
Ho Sc In Hg
1 1 1 1
Direct
0.0000 0.0000 0.0000
0.5000 0.5000 0.5000
0.2500 0.2500 0.2500
0.7500 0.7500 0.7500


PBE SeBr3Cl, optimized geometry; space group = No. 221; energy relative to the elements, uncorrected = 1.19 eV/f.u.
1.0
5.2862 0.0000 0.0000
0.0000 5.2862 0.0000
0.0000 0.0000 5.2862
Se Br Cl
1 3 1
Direct
0.0000 0.0000 0.0000
0.0000 0.0000 0.5000
0.0000 0.5000 0.0000
0.5000 0.0000 0.0000
0.5000 0.5000 0.5000


Total DFT energy (no corrections)
In order: -6.051, -8.225, -5.617, -2.394, -4.148, -4.167, -5.384, -2.006, -4.615, -6.149, -3.462, -3.816, -4.317, -7.553, -4.078, -6.172, -5.314, -7.716, -3.917, -1.833
Unit: eV per atom
Total magnetic moment
In order: 0.00, 0.00, 0.00, 0.00, 0.00, 0.05, 0.17, 0.25, 0.00, 0.67, 0.00, 0.42, 0.00, 0.00, 0.00, 0.00, 0.00, 0.00, 0.41, 0.95
Unit: μB/f.u.